The following is a PBE calculation of a geometry-optimized LuSc2Al structure, from Alexandria via LeMat-Bulk.

a = 7.1411 Å, b = 7.1411 Å, c = 7.1411 Å
α = 90.00°, β = 90.00°, γ = 90.00°
With the nearest neighbours (Å) after each atom.
Space group Fm-3m (No. 225)
Asymmetric unit:
Lu: 0.0000 0.0000 0.0000 x4  8 Sc 3.09
Sc: 0.2500 0.2500 0.2500 x8  4 Al 3.09, 4 Lu 3.09
Al: 0.0000 0.0000 0.5000 x4  8 Sc 3.09

Computed properties:
Electronic total energy (eV/atom): -5.334
Excess energy over the best structure of this formula in the dataset (eV/atom): 0.1203
ΔH_f (0 K) (eV per formula unit): -0.4

=====

The following is a PBE calculation of a geometry-optimized Lu2ScAl structure, from Alexandria via LeMat-Bulk.

a = 4.6040 Å, b = 4.6040 Å, c = 4.5237 Å
α = 90.00°, β = 90.00°, γ = 90.00°
With the nearest neighbours (Å) after each atom.
Space group P4/mmm (No. 123)
Asymmetric unit:
Lu: 0.0000 0.5000 0.0000 x2  4 Al 3.23, 4 Sc 3.23, 4 Lu 3.26
Sc: 0.0000 0.0000 0.5000 x1  8 Lu 3.23, 4 Al 3.26
Al: 0.5000 0.5000 0.5000 x1  8 Lu 3.23, 4 Sc 3.26

Computed properties:
Electronic total energy (eV/atom): -4.985
Excess energy over the best structure of this formula in the dataset (eV/atom): 0.0000
ΔH_f (0 K) (eV per formula unit): -0.8

=====

The following is a PBE calculation of a geometry-optimized Lu2ScAl structure, from Alexandria via LeMat-Bulk.

a = 3.3957 Å, b = 3.3957 Å, c = 8.5771 Å
α = 90.00°, β = 90.00°, γ = 90.00°
With the nearest neighbours (Å) after each atom.
Space group P4/mmm (No. 123)
Asymmetric unit:
Lu: 0.0000 0.0000 0.2254 x2  4 Al 3.08, 4 Sc 3.36, 4 Lu 3.40
Sc: 0.5000 0.5000 0.5000 x1  8 Lu 3.36, 4 Sc 3.40
Al: 0.5000 0.5000 0.0000 x1  8 Lu 3.08, 4 Al 3.40

Computed properties:
Electronic total energy (eV/atom): -4.974
Excess energy over the best structure of this formula in the dataset (eV/atom): 0.0112
ΔH_f (0 K) (eV per formula unit): -0.8

=====

The following is a PBE calculation of a geometry-optimized LuScAl4 structure, from Alexandria via LeMat-Bulk.

a = 7.6709 Å, b = 7.6709 Å, c = 7.6709 Å
α = 90.00°, β = 90.00°, γ = 90.00°
With the nearest neighbours (Å) after each atom.
Space group F-43m (No. 216)
Asymmetric unit:
Lu: 0.0000 0.0000 0.0000 x4  12 Al 3.18, 4 Sc 3.32
Sc: 0.2500 0.2500 0.7500 x4  12 Al 3.18, 4 Lu 3.32
Al: 0.1249 0.1249 0.3751 x16  6 Al 2.71

Computed properties:
Electronic total energy (eV/atom): -4.784
ΔH_f (0 K) (eV per formula unit): -2.9

=====

The following is a PBE calculation of a geometry-optimized Lu2ScAl structure, from Alexandria via LeMat-Bulk.

a = 7.2786 Å, b = 7.2786 Å, c = 7.2786 Å
α = 90.00°, β = 90.00°, γ = 90.00°
With the nearest neighbours (Å) after each atom.
Space group Fm-3m (No. 225)
Asymmetric unit:
Lu: 0.2500 0.2500 0.2500 x8  4 Sc 3.15, 4 Al 3.15
Sc: 0.0000 0.0000 0.0000 x4  8 Lu 3.15
Al: 0.0000 0.0000 0.5000 x4  8 Lu 3.15

Computed properties:
Electronic total energy (eV/atom): -4.879
Excess energy over the best structure of this formula in the dataset (eV/atom): 0.1066
ΔH_f (0 K) (eV per formula unit): -0.4

=====

The following is a PBE calculation of a geometry-optimized LuZrScAl structure, from Alexandria via LeMat-Bulk.

a = 7.0984 Å, b = 7.0984 Å, c = 7.0984 Å
α = 90.00°, β = 90.00°, γ = 90.00°
With the nearest neighbours (Å) after each atom.
Space group F-43m (No. 216)
Asymmetric unit:
Lu: 0.0000 0.0000 0.0000 x4  4 Al 3.07, 4 Sc 3.07
Zr: 0.0000 0.0000 0.5000 x4  4 Sc 3.07, 4 Al 3.07
Sc: 0.2500 0.2500 0.7500 x4  4 Lu 3.07, 4 Zr 3.07
Al: 0.2500 0.2500 0.2500 x4  4 Zr 3.07, 4 Lu 3.07

Computed properties:
Electronic total energy (eV/atom): -5.866
ΔH_f (0 K) (eV per formula unit): -0.3

=====

The following is a PBE calculation of a geometry-optimized Lu3Al5Se12 structure, from Alexandria via LeMat-Bulk.

a = 15.6515 Å, b = 15.6515 Å, c = 15.6515 Å
α = 90.00°, β = 90.00°, γ = 90.00°
With the nearest neighbours (Å) after each atom.
Space group Ia-3d (No. 230)
Asymmetric unit:
Lu: 0.0000 0.2500 0.1250 x24  8 Se 2.98-3.02
Al: 0.0000 0.0000 0.0000 x16  6 Se 2.57
Al: 0.0000 0.2500 0.3750 x24  4 Se 2.40
Se: 0.0256 0.0602 0.6504 x96  2 Al 2.40-2.57

Computed properties:
Electronic total energy (eV/atom): -4.865
Uncorrected formation energy (eV per atom): -1.1608

=====

The following is a PBE calculation of a geometry-optimized LuAlSe2 structure, from Alexandria via LeMat-Bulk.

a = 3.7288 Å, b = 3.7288 Å, c = 25.1201 Å
α = 90.00°, β = 90.00°, γ = 120.00°
With the nearest neighbours (Å) after each atom.
Space group R-3m (No. 166, hexagonal axes)
Asymmetric unit:
Lu: 0.0000 0.0000 0.0000 x3  2 Se 2.78
Al: 0.0000 0.0000 0.5000 x3  6 Se 2.57
Se: 0.0000 0.0000 0.1106 x6  3 Al 2.57, 1 Lu 2.78

Computed properties:
Electronic total energy (eV/atom): -4.540
Uncorrected formation energy (eV per atom): -0.7318